[1]
Computed, not measured: BaBe3Pt after structural relaxation at the PBE-GGA level of DFT.

Summary:
Size of the total moment in μB per cell: 0.00
ΔH_f (0 K) in eV/atom: -0.1808
Energy above the most stable polymorph in this dataset in eV/atom: 0.000
Total energy in eV/atom: -4.009
ρ in g/cm³: 6.50

```
5
Lattice="4.512 0.000 0.000 0.000 4.512 0.000 0.000 0.000 4.512" Properties=species:S:1:pos:R:3 pbc="T T T"
Ba 0.000 0.000 0.000
Be 0.000 2.256 2.256
Be 2.256 0.000 2.256
Be 2.256 2.256 0.000
Pt 2.256 2.256 2.256
```

[2]
Computed, not measured: BaBePt2 after structural relaxation at the PBE-GGA level of DFT.

Summary:
Size of the total moment in μB per cell: 0.00
ΔH_f (0 K) in eV/atom: -0.5720
Total energy in eV/atom: -5.005
ρ in g/cm³: 9.69

```
4
Lattice="4.226 0.000 0.000 0.000 4.226 0.000 0.000 0.000 5.146" Properties=species:S:1:pos:R:3 pbc="T T T"
Ba 0.000 0.000 0.000
Be 2.113 2.113 2.024
Pt 0.000 2.113 2.604
Pt 2.113 0.000 2.604
```

[3]
Computed, not measured: BaBePt2 after structural relaxation at the PBE-GGA level of DFT.

Summary:
Size of the total moment in μB per cell: 0.00
ΔH_f (0 K) in eV/atom: -0.2782
Total energy in eV/atom: -4.711
ρ in g/cm³: 12.11

```
4
Lattice="3.093 0.000 0.000 0.000 3.093 0.000 0.000 0.000 7.689" Properties=species:S:1:pos:R:3 pbc="T T T"
Ba 0.000 0.000 0.000
Be 0.000 0.000 3.844
Pt 1.546 1.546 2.496
Pt 1.546 1.546 5.193
```

[4]
Computed, not measured: BaBePt2 after structural relaxation at the PBE-GGA level of DFT.

Summary:
Size of the total moment in μB per cell: 0.00
ΔH_f (0 K) in eV/atom: 0.2085
Total energy in eV/atom: -4.224
ρ in g/cm³: 10.97

```
4
Lattice="4.421 0.000 0.000 0.000 4.421 0.000 0.000 0.000 4.156" Properties=species:S:1:pos:R:3 pbc="T T T"
Ba 0.000 0.000 0.000
Be 2.211 2.211 0.000
Pt 0.000 2.211 2.078
Pt 2.211 0.000 2.078
```

[5]
Computed, not measured: BaBePt2 after structural relaxation at the PBE-GGA level of DFT.

Summary:
Size of the total moment in μB per cell: 0.00
ΔH_f (0 K) in eV/atom: -0.1731
Total energy in eV/atom: -4.606
ρ in g/cm³: 11.18

```
4
Lattice="3.313 0.000 0.000 0.000 3.313 0.000 0.000 0.000 7.259" Properties=species:S:1:pos:R:3 pbc="T T T"
Ba 0.000 0.000 0.000
Be 1.656 1.656 2.817
Pt 0.000 0.000 3.229
Pt 1.656 1.656 5.090
```

[6]
Computed, not measured: BaBePt2 after structural relaxation at the PBE-GGA level of DFT.

Summary:
Size of the total moment in μB per cell: 0.00
ΔH_f (0 K) in eV/atom: -0.5645
Total energy in eV/atom: -4.997
ρ in g/cm³: 10.00

```
4
Lattice="2.126 1.228 5.687 -2.126 1.228 5.687 0.000 -2.455 5.687" Properties=species:S:1:pos:R:3 pbc="T T T"
Ba 0.000 0.000 0.000
Be 0.000 0.000 8.530
Pt 0.000 0.000 3.347
Pt 0.000 0.000 13.714
```

[7]
Computed, not measured: RbBaBe2Pt after structural relaxation at the PBE-GGA level of DFT.

Summary:
Size of the total moment in μB per cell: 0.00
ΔH_f (0 K) in eV/atom: 0.3321
Total energy in eV/atom: -2.945
ρ in g/cm³: 5.78

```
5
Lattice="4.636 0.000 0.000 0.000 4.636 0.000 0.000 0.000 5.829" Properties=species:S:1:pos:R:3 pbc="T T T"
Rb 0.000 0.000 0.000
Ba 2.318 2.318 0.000
Be 0.000 2.318 2.915
Be 2.318 0.000 2.915
Pt 0.000 0.000 2.915
```

[8]
Computed, not measured: BaSrBePt2 after structural relaxation at the PBE-GGA level of DFT.

Summary:
Size of the total moment in μB per cell: 0.00
ΔH_f (0 K) in eV/atom: 1.2152
Total energy in eV/atom: -2.667
ρ in g/cm³: 5.56

```
5
Lattice="5.368 0.000 0.000 0.000 5.368 0.000 0.000 0.000 6.472" Properties=species:S:1:pos:R:3 pbc="T T T"
Ba 0.000 0.000 0.000
Sr 0.000 0.000 3.236
Be 2.684 2.684 0.000
Pt 0.000 2.684 3.236
Pt 2.684 0.000 3.236
```